Entry from the Alexandria database: a relaxed structure of AgHN2 (PBE-GGA).

Uncorrected energy ... -13.823 eV per cell
ΔE to the lowest computed polymorph ... 0.9232 eV/atom
Space group ... No. 225
Magnetization ... 0.06 μB per formula unit

a b c (Å): 3.700 3.700 3.700
angles (deg): 60.00 60.00 60.00
Atoms (fractional coordinates):
1 H 0.000 0.000 0.000
2 Ag 0.500 0.500 0.500
3 N 0.250 0.250 0.250
4 N 0.750 0.750 0.750

=====

Entry from the Alexandria database: a relaxed structure of Rb2AcBr3Cl3 (PBE-GGA).

Uncorrected energy ... -32.696 eV per cell
Space group ... No. 189
Raw formation energy ... -1.79 eV/atom
Magnetization ... 1.14 μB per formula unit

a b c (Å): 4.604 8.726 8.726
angles (deg): 120.00 90.00 90.00
Each line ends with the local moment (μB).
Atoms (fractional coordinates):
1 Rb 0.500 0.333 0.667  0.00
2 Rb 0.500 0.667 0.333  0.00
3 Ac 0.000 0.000 0.000  -0.01
4 Br 0.000 0.000 0.368  0.18
5 Br 0.000 0.632 0.632  0.18
6 Br 0.000 0.368 0.000  0.18
7 Cl 0.500 0.768 0.000  0.10
8 Cl 0.500 0.232 0.232  0.10
9 Cl 0.500 0.000 0.768  0.10

=====

Entry from the Alexandria database: a relaxed structure of BMoRhSe2 (PBE-GGA).

Uncorrected energy ... -27.919 eV per cell
ΔE to the lowest computed polymorph ... 0.0000 eV/atom
Space group ... No. 123
Raw formation energy ... 0.78 eV/atom
Magnetization ... 3.23 μB per formula unit

a b c (Å): 4.524 3.992 4.524
angles (deg): 90.00 90.00 90.00
Each line ends with the local moment (μB).
Atoms (fractional coordinates):
1 Mo 0.500 0.500 0.500  2.65
2 B 0.000 0.000 0.000  0.04
3 Rh 0.000 0.500 0.000  0.21
4 Se 0.000 0.000 0.500  -0.03
5 Se 0.500 0.000 0.000  -0.06

=====

Entry from the Alexandria database: a relaxed structure of Na2Cu2Sb (PBE-GGA).

Uncorrected energy ... -13.196 eV per cell
ΔE to the lowest computed polymorph ... 0.3628 eV/atom
Space group ... No. 139
Raw formation energy ... 0.35 eV/atom
Magnetization ... 0.00 μB per formula unit

a b c (Å): 4.000 4.000 7.102
angles (deg): 73.64 73.64 90.00
Atoms (fractional coordinates):
1 Sb 0.000 0.000 0.000
2 Cu 0.412 0.412 0.177
3 Cu 0.588 0.588 0.823
4 Na 0.750 0.250 0.500
5 Na 0.250 0.750 0.500

=====

Entry from the Alexandria database: a relaxed structure of ZnCd2Ge (PBE-GGA).

Uncorrected energy ... -7.112 eV per cell
Energy of formation from the pure elements ... 0.152 eV per atom
ΔE to the lowest computed polymorph ... 0.0000 eV/atom
Space group ... No. 123
Magnetization ... 0.00 μB per formula unit

a b c (Å): 4.289 4.355 4.355
angles (deg): 90.00 90.00 90.00
Atoms (fractional coordinates):
1 Ge 0.500 0.000 0.000
2 Zn 0.500 0.500 0.500
3 Cd 0.000 0.000 0.500
4 Cd 0.000 0.500 0.000

=====

Entry from the Alexandria database: a relaxed structure of In2HgPt2 (PBE-GGA).

Uncorrected energy ... -39.055 eV per cell
Energy of formation from the pure elements ... -0.333 eV per atom
ΔE to the lowest computed polymorph ... 0.0000 eV/atom
Space group ... No. 127
Magnetization ... 0.00 μB per formula unit

a b c (Å): 7.498 7.498 3.521
angles (deg): 90.00 90.00 90.00
Atoms (fractional coordinates):
1 Hg 0.000 0.000 0.000
2 Hg 0.500 0.500 0.000
3 Pt 0.357 0.857 0.000
4 Pt 0.857 0.643 0.000
5 Pt 0.643 0.143 0.000
6 Pt 0.143 0.357 0.000
7 In 0.155 0.655 0.500
8 In 0.655 0.845 0.500
9 In 0.845 0.345 0.500
10 In 0.345 0.155 0.500

=====

Entry from the Alexandria database: a relaxed structure of ZnCo2Pt (PBE-GGA).

Uncorrected energy ... -21.909 eV per cell
Energy of formation from the pure elements ... -0.096 eV per atom
Space group ... No. 8
Magnetization ... 3.32 μB per formula unit

a b c (Å): 4.497 4.497 4.576
angles (deg): 79.55 79.55 34.72
Each line ends with the local moment (μB).
Atoms (fractional coordinates):
1 Co 0.006 0.006 0.982  1.63
2 Co 0.746 0.746 0.776  1.59
3 Pt 0.496 0.496 0.496  0.21
4 Zn 0.252 0.252 0.247  -0.04

=====

Entry from the Alexandria database: a relaxed structure of CdSiSe3 (PBE-GGA).

Uncorrected energy ... -37.188 eV per cell
ΔE to the lowest computed polymorph ... 0.0000 eV/atom
Space group ... No. 11
Raw formation energy ... -0.36 eV/atom
Magnetization ... 0.00 μB per formula unit

a b c (Å): 3.815 7.415 10.128
angles (deg): 98.24 90.00 90.00
Atoms (fractional coordinates):
1 Cd 0.750 0.317 0.331
2 Cd 0.250 0.683 0.669
3 Si 0.750 0.202 0.786
4 Si 0.250 0.798 0.214
5 Se 0.250 0.067 0.353
6 Se 0.250 0.586 0.361
7 Se 0.750 0.933 0.647
8 Se 0.750 0.414 0.639
9 Se 0.750 0.755 0.072
10 Se 0.250 0.245 0.928